# 1
This record from Alexandria describes a geometry-optimized SmErHg3 structure. The functional is PBE.

VASP energy: -2.450 eV/atom
size of the total moment: 0.022 μB/atom
calculated formation energy: -0.413 eV/atom
space group: Cmcm, No. 63
ΔE to the lowest computed polymorph: 0.000 eV/atom

Cell lengths 14.6244, 14.6244, 4.9256 Å; angles 90.00, 90.00, 165.90 degrees
Sites, in units of the cell vectors:
1 Sm 0.0765 0.9235 0.7500
2 Sm 0.9235 0.0765 0.2500
3 Er 0.2110 0.7890 0.2500
4 Er 0.7890 0.2110 0.7500
5 Hg 0.3170 0.6830 0.2500
6 Hg 0.3769 0.6231 0.7500
7 Hg 0.4757 0.5243 0.7500
8 Hg 0.5243 0.4757 0.2500
9 Hg 0.6231 0.3769 0.2500
10 Hg 0.6830 0.3170 0.7500

# 2
This record from Alexandria describes a geometry-optimized Sm2Er2Hg structure. The functional is PBE.

VASP energy: -3.953 eV/atom
size of the total moment: 0.004 μB/atom
calculated formation energy: -0.180 eV/atom
space group: I4/mmm, No. 139
ΔE to the lowest computed polymorph: 0.000 eV/atom

Cell lengths 11.8392, 11.8392, 11.8392 Å; angles 162.57, 162.57, 24.74 degrees
Sites, in units of the cell vectors:
1 Sm 0.1940 0.1940 0.0000
2 Sm 0.8060 0.8060 0.0000
3 Er 0.4152 0.4152 0.0000
4 Er 0.5848 0.5848 0.0000
5 Hg 0.0000 0.0000 0.0000

# 3
This record from Alexandria describes a geometry-optimized SmEr3Hg4 structure. The functional is PBE.

VASP energy: -2.927 eV/atom
size of the total moment: 0.055 μB/atom
calculated formation energy: -0.476 eV/atom
space group: P4/mmm, No. 123
ΔE to the lowest computed polymorph: 0.000 eV/atom

Cell lengths 5.2183, 5.2183, 7.5483 Å; angles 90.00, 90.00, 90.00 degrees
Sites, in units of the cell vectors:
1 Sm 0.0000 0.0000 0.0000
2 Er 0.0000 0.0000 0.5000
3 Er 0.5000 0.5000 0.0000
4 Er 0.5000 0.5000 0.5000
5 Hg 0.0000 0.5000 0.2586
6 Hg 0.0000 0.5000 0.7414
7 Hg 0.5000 0.0000 0.2586
8 Hg 0.5000 0.0000 0.7414